Record 1
The following is a PBE-GGA calculation of a geometry-optimized Rb2CrGaGe structure, from the Alexandria database.

a b c (Å): 6.664 6.664 5.008
angles (deg): 90.00 90.00 90.00
Space group P4/mmm (No. 123)
Unique sites:
Rb: 0.000 0.500 0.000 [2 per cell]
Cr: 0.000 0.000 0.500 [1 per cell]
Ga: 0.000 0.000 0.000 [1 per cell]
Ge: 0.500 0.500 0.500 [1 per cell]

Output
total DFT energy (no corrections)	-14.9	eV for the cell shown

---

Record 2
The following is a PBE-GGA calculation of a geometry-optimized Zr2AsRu structure, from the Alexandria database.

a b c (Å): 3.3011 3.3011 25.0564
angles (deg): 90.00 90.00 120.00
Space group R3m (No. 160, hexagonal axes)
Unique sites:
Zr: 0.0000 0.0000 0.0000 [3 per cell]
Zr: 0.0000 0.0000 0.2352 [3 per cell]
As: 0.0000 0.0000 0.7519 [3 per cell]
Ru: 0.0000 0.0000 0.4794 [3 per cell]

Output
total DFT energy (no corrections)	-94.7	eV for the cell shown

---

Record 3
The following is a PBE-GGA calculation of a geometry-optimized EuTlBiAu structure, from the Alexandria database.

a b c (Å): 7.619 7.619 7.619
angles (deg): 90.00 90.00 90.00
Space group F-43m (No. 216)
Unique sites:
Eu: 0.000 0.000 0.000 [4 per cell]
Tl: 0.250 0.250 0.750 [4 per cell]
Bi: 0.000 0.000 0.500 [4 per cell]
Au: 0.250 0.250 0.250 [4 per cell]

Output
total DFT energy (no corrections)	-85.6	eV for the cell shown

---

Record 4
The following is a PBE-GGA calculation of a geometry-optimized Li2PW structure, from the Alexandria database.

a b c (Å): 2.706 4.500 4.781
angles (deg): 90.00 105.98 90.00
Space group P2/m (No. 10)
Unique sites:
Li: 0.140 0.000 0.255 [2 per cell]
P: 0.000 0.500 0.500 [1 per cell]
W: 0.500 0.500 0.000 [1 per cell]

Output
total DFT energy (no corrections)	-22.0	eV for the cell shown

---

> The lowest total DFT energy (no corrections) belongs to which entry?

Zr2AsRu

---

Copy entry 2 word for word.
The following is a PBE-GGA calculation of a geometry-optimized Zr2AsRu structure, from the Alexandria database.

a b c (Å): 3.3011 3.3011 25.0564
angles (deg): 90.00 90.00 120.00
Space group R3m (No. 160, hexagonal axes)
Unique sites:
Zr: 0.0000 0.0000 0.0000 [3 per cell]
Zr: 0.0000 0.0000 0.2352 [3 per cell]
As: 0.0000 0.0000 0.7519 [3 per cell]
Ru: 0.0000 0.0000 0.4794 [3 per cell]

Output
total DFT energy (no corrections)	-94.7	eV for the cell shown

---

> What is the total DFT energy (no corrections) in the first record?

-14.9 eV for the cell shown

---

> The lowest total DFT energy (no corrections) belongs to which entry?

Zr2AsRu